This record from the Alexandria database describes LaMgBiPb after structural relaxation. The functional is PBE.

Structure (POSCAR):
```
LaMgBiPb
1.0
-2.6766 3.4185 1.4427
-2.8097 -3.3274 2.6717
2.9968 0.6662 3.9813
La Bi Pb Mg
1 1 1 1
direct
0.0000 0.0000 0.0000
0.5000 0.0000 0.5000
0.5000 0.5000 0.0000
0.0000 0.5000 0.5000
```

Output
* V: 29.38 Å³ per atom
* space-group type: No. 47
* E above lowest polymorph: 0 kJ/mol of formula units
* formation enthalpy at 0 K: -0.508 eV per atom